VASP calculation (PBE) on a relaxed structure of Zr5Sn4.

Cell lengths 8.8484, 8.8484, 5.9675 Å; angles 90.00, 90.00, 120.00 degrees
With the nearest neighbours (Å) after each atom.
Sites, in units of the cell vectors:
Zr1 0.7191 0.7191 0.2500  7 Sn 2.90-3.13
Zr2 0.0000 0.2809 0.2500  7 Sn 2.90-3.13
Zr3 0.0000 0.7191 0.7500  7 Sn 2.90-3.13
Zr4 0.3333 0.6667 0.0000  2 Zr 2.98, 6 Sn 3.12
Zr5 0.3333 0.6667 0.5000  2 Zr 2.98, 6 Sn 3.12
Zr6 0.6667 0.3333 0.5000  2 Zr 2.98, 6 Sn 3.12
Zr7 0.7191 0.0000 0.7500  7 Sn 2.90-3.13
Zr8 0.2809 0.0000 0.2500  7 Sn 2.90-3.13
Zr9 0.2809 0.2809 0.7500  7 Sn 2.90-3.13
Zr10 0.6667 0.3333 0.0000  2 Zr 2.98, 6 Sn 3.12
Sn1 0.0000 0.3863 0.7500  9 Zr 2.95-3.13
Sn2 0.6137 0.6137 0.7500  9 Zr 2.95-3.13
Sn3 0.3863 0.0000 0.7500  9 Zr 2.95-3.13
Sn4 0.3863 0.3863 0.2500  9 Zr 2.95-3.13
Sn5 0.0000 0.6137 0.2500  9 Zr 2.95-3.13
Sn6 0.6137 0.0000 0.2500  9 Zr 2.95-3.13
Sn7 0.0000 0.0000 0.5000  6 Zr 2.90, 2 Sn 2.98
Sn8 0.0000 0.0000 0.0000  6 Zr 2.90, 2 Sn 2.98

Calculated values
**DFT formation energy**: -5.34 eV per formula unit
**Magnetization**: 0.00 μB per formula unit
**Crystal system**: hexagonal

=====

VASP calculation (PBE) on a relaxed structure of TaCuTc.

Cell lengths 6.4589, 6.4589, 6.4589 Å; angles 155.83, 155.83, 34.44 degrees
With the nearest neighbours (Å) after each atom.
Sites, in units of the cell vectors:
Ta1 0.3396 0.3396 0.0000  4 Ta 2.70, 4 Cu 2.78, 4 Tc 2.96
Tc1 0.6569 0.6569 0.0000  4 Cu 2.69, 4 Tc 2.70, 4 Ta 2.96
Cu1 0.0035 0.0035 0.0000  4 Tc 2.69, 4 Cu 2.70, 4 Ta 2.78

Calculated values
**DFT formation energy**: 0.58 eV per formula unit
**Magnetization**: 0.00 μB per formula unit
**Crystal system**: tetragonal
**Excess energy over the best structure of this formula in the dataset**: 201 meV/atom

=====

VASP calculation (PBE) on a relaxed structure of SrCd2Ge2.

Cell lengths 8.3940, 8.3940, 3.4175 Å; angles 90.00, 90.00, 90.00 degrees
With the nearest neighbours (Å) after each atom.
Sites, in units of the cell vectors:
Sr1 0.0000 0.0000 0.0000  4 Cd 3.33, 2 Sr 3.42, 8 Ge 3.53
Sr2 0.5000 0.5000 0.0000  4 Cd 3.33, 2 Sr 3.42, 8 Ge 3.53
Cd1 0.1221 0.3779 0.0000  1 Cd 2.90, 6 Ge 2.94-3.06
Cd2 0.8779 0.6221 0.0000  1 Cd 2.90, 6 Ge 2.94-3.06
Cd3 0.3779 0.8779 0.0000  1 Cd 2.90, 6 Ge 2.94-3.06
Cd4 0.6221 0.1221 0.0000  1 Cd 2.90, 6 Ge 2.94-3.06
Ge1 0.8239 0.3239 0.5000  6 Cd 2.94-3.06
Ge2 0.3239 0.1761 0.5000  6 Cd 2.94-3.06
Ge3 0.6761 0.8239 0.5000  6 Cd 2.94-3.06
Ge4 0.1761 0.6761 0.5000  6 Cd 2.94-3.06

Calculated values
**DFT formation energy**: -0.32 eV per formula unit
**Magnetization**: 0.00 μB per formula unit
**Crystal system**: tetragonal

=====

VASP calculation (PBE) on a relaxed structure of CeZr2PaN4.

Cell lengths 3.3717, 5.9347, 5.8371 Å; angles 70.98, 90.00, 90.00 degrees
With the nearest neighbours (Å) after each atom.
Sites, in units of the cell vectors:
N1 0.0000 0.7713 0.7344  3 Zr 2.31-2.37, 1 Pa 2.43, 2 Ce 2.49
N2 0.0000 0.2287 0.2656  3 Zr 2.31-2.37, 1 Pa 2.43, 2 Ce 2.49
N3 0.5000 0.2318 0.7487  3 Zr 2.30-2.36, 2 Pa 2.44, 1 Ce 2.49
N4 0.5000 0.7682 0.2513  3 Zr 2.30-2.36, 2 Pa 2.44, 1 Ce 2.49
Zr1 0.5000 0.0000 0.5000  6 N 2.30-2.31
Zr2 0.0000 0.0000 0.0000  6 N 2.36-2.37
Ce1 0.5000 0.5000 0.0000  6 N 2.49
Pa1 0.0000 0.5000 0.5000  6 N 2.43-2.44

Calculated values
**Magnetization**: 0.00 μB per formula unit
**Crystal system**: monoclinic
**E_form (uncorrected)**: -1.66 eV/atom